The following is a PBE calculation of Hf5Cu4Re after structural relaxation, from Alexandria via LeMat-Bulk.

Geometry as CIF:
```
data_Hf5Cu4Re
_chemical_formula_sum 'Hf5 Cu4 Re1'
_space_group_name_H-M_alt 'P 4/m m m'
_space_group_IT_number 123
_space_group_name_Hall '-P 4 2'
_cell_length_a 3.266
_cell_length_b 3.266
_cell_length_c 16.180
_cell_angle_alpha 90.00
_cell_angle_beta 90.00
_cell_angle_gamma 90.00
loop_
_atom_site_label
_atom_site_fract_x
_atom_site_fract_y
_atom_site_fract_z
Hf1 0.000 0.000 0.000
Hf2 0.000 0.000 0.199
Hf3 0.000 0.000 0.402
Cu1 0.500 0.500 0.098
Cu2 0.500 0.500 0.299
Re1 0.500 0.500 0.500
```

Computed properties:
Energy: -8.0386 eV/atom
DOS at the Fermi energy: 1.03 states/eV/atom
Density: 12.82 Mg/m³
Total magnetic moment: 1.64 μB/f.u.
DFT formation energy: -172.4 kJ/mol of formula units

The following is a PBE calculation of Tb2SnTe4 after structural relaxation, from Alexandria via LeMat-Bulk.

Geometry as CIF:
```
data_Tb2SnTe4
_chemical_formula_sum 'Tb4 Sn2 Te8'
_space_group_name_H-M_alt 'C 1 2/m 1'
_space_group_IT_number 12
_cell_length_a 16.665
_cell_length_b 4.423
_cell_length_c 7.683
_cell_angle_alpha 90.00
_cell_angle_beta 115.77
_cell_angle_gamma 90.00
loop_
_space_group_symop_operation_xyz
'x,y,z'
'-x,-y,-z'
'-x,y,-z'
'x,-y,z'
'x+1/2,y+1/2,z'
'-x+1/2,-y+1/2,-z'
'-x+1/2,y+1/2,-z'
'x+1/2,-y+1/2,z'
loop_
_atom_site_label
_atom_site_fract_x
_atom_site_fract_y
_atom_site_fract_z
Tb1 0.238 0.000 0.224
Sn1 0.000 0.500 0.500
Te1 0.126 0.500 0.955
Te2 0.138 0.000 0.484
```

Computed properties:
Energy: -4.7470 eV/atom
Density: 6.17 Mg/m³
Total magnetic moment: 0.00 μB/f.u.
Energy relative to the elements, uncorrected: -1056.9 meV/atom

no.,V (Å³ per atom)
1,17.259
2,36.427